1.
CdPt2WC, single point on PBEsol structure, DFT meta-GGA SCAN; ρ = 12.72 Mg/m³; symmetry = P4/mmm, No. 123; energy of formation = 12.6 eV/f.u.
1.0
3.798 0.000 0.000
0.000 4.899 0.000
0.000 0.000 4.899
C W Pt Cd
1 1 2 1
direct
0.500 0.000 0.000
0.500 0.500 0.500
0.000 0.000 0.500
0.000 0.500 0.000
0.000 0.000 0.000



2.
LiMnFe2, single point on PBEsol structure, DFT meta-GGA SCAN; ρ = 6.79 Mg/m³; symmetry = R-3m, No. 166; energy of formation = 1.9 eV/f.u.
1.0
-0.316 -2.306 -0.703
-0.632 -1.692 1.628
-8.319 0.219 -1.188
Fe Li Mn
2 1 1
direct
0.257 0.257 0.230
0.743 0.743 0.770
0.500 0.500 0.500
0.000 0.000 0.000



3.
NaLa2BAs, single point on PBEsol structure, DFT meta-GGA SCAN; ρ = 5.11 Mg/m³; symmetry = P4/mmm, No. 123; energy of formation = 3.7 eV/f.u.
1.0
4.182 0.000 0.000
0.000 5.479 0.000
0.000 0.000 5.479
Na As B La
1 1 1 2
direct
0.000 0.000 0.000
0.500 0.500 0.500
0.500 0.000 0.000
0.000 0.000 0.500
0.000 0.500 0.000



4.
Cd2HgPb, single point on PBEsol structure, DFT meta-GGA SCAN; ρ = 11.05 Mg/m³; symmetry = Pmm2, No. 25; energy of formation = 0.2 eV/f.u.
1.0
-3.125 -0.822 0.924
0.653 -4.167 -1.501
2.136 -1.717 5.694
Pb Hg Cd
1 1 2
direct
0.500 0.500 0.756
0.000 0.000 0.480
0.000 0.000 0.012
0.500 0.500 0.253



5.
YZn2Cl, single point on PBEsol structure, DFT meta-GGA SCAN; ρ = 5.35 Mg/m³; formation energy (no corrections) = -0.510 eV/atom; symmetry = Imm2, No. 44
1.0
-1.224 3.284 -1.559
0.163 -1.967 -4.272
-3.625 -1.992 3.370
Y Zn Cl
1 2 1
direct
0.244 0.744 0.488
0.006 0.006 0.013
0.742 0.242 0.484
0.507 0.507 0.015



6.
LiIn2Ag, single point on PBEsol structure, DFT meta-GGA SCAN; ρ = 7.41 Mg/m³; symmetry = Fm-3m, No. 225; energy of formation = -0.7 eV/f.u.
1.0
-0.479 0.485 4.730
-1.219 -3.766 2.677
3.205 -1.978 2.941
In Ag Li
2 1 1
direct
0.250 0.250 0.250
0.750 0.750 0.750
0.000 0.000 0.000
0.500 0.500 0.500



7.
Re2NiAs, single point on PBEsol structure, DFT meta-GGA SCAN; ρ = 14.96 Mg/m³; symmetry = Amm2, No. 38; energy of formation = 0.6 eV/f.u.
1.0
-2.321 1.411 0.872
0.061 -1.869 3.186
4.263 3.061 1.714
As Ni Re
1 1 2
direct
0.841 0.000 0.558
0.417 0.500 0.708
0.065 0.000 0.004
0.678 0.500 0.231



8.
MgScCd3, single point on PBEsol structure, DFT meta-GGA SCAN; ρ = 5.39 Mg/m³; symmetry = Pm-3m, No. 221; energy of formation = 2.1 eV/f.u.
1.0
5.002 0.000 0.000
0.000 5.002 0.000
0.000 0.000 5.002
Sc Mg Cd
1 1 3
direct
0.500 0.500 0.500
0.000 0.000 0.000
0.000 0.500 0.000
0.000 0.000 0.500
0.500 0.000 0.000



9.
BaZr2Se, single point on PBEsol structure, DFT meta-GGA SCAN; ρ = 6.32 Mg/m³; formation energy (no corrections) = -0.164 eV/atom; symmetry = P2/m, No. 10
1.0
3.839 0.000 0.033
0.000 5.153 0.000
-0.534 0.000 5.295
Ba Se Zr
1 1 2
direct
0.500 0.500 0.000
0.000 0.500 0.500
0.891 0.000 0.719
0.109 0.000 0.281



10.
AlCuHg2, single point on PBEsol structure, DFT meta-GGA SCAN; ρ = 11.36 Mg/m³; symmetry = R-3m, No. 166; energy of formation = 0.6 eV/f.u.
1.0
-2.925 -0.860 -0.728
-1.590 -1.915 1.905
-4.514 5.753 4.594
Hg Cu Al
2 1 1
direct
0.255 0.255 0.236
0.745 0.745 0.764
0.000 0.000 0.000
0.500 0.500 0.500



11.
Sc2CdTc, single point on PBEsol structure, DFT meta-GGA SCAN; ρ = 6.64 Mg/m³; symmetry = P4/mmm, No. 123; energy of formation = -1.6 eV/f.u.
1.0
3.281 0.000 0.000
0.000 3.281 0.000
0.000 0.000 6.977
Sc Tc Cd
2 1 1
direct
0.000 0.000 0.787
0.000 0.000 0.213
0.500 0.500 0.000
0.500 0.500 0.500



12.
CdAgRu2, single point on PBEsol structure, DFT meta-GGA SCAN; ρ = 11.49 Mg/m³; symmetry = C2/m, No. 12; energy of formation = 1.8 eV/f.u.
1.0
2.750 0.000 0.000
0.000 4.751 0.001
-1.375 -0.811 4.674
Ag Cd Ru
1 1 2
direct
0.500 0.000 0.000
0.000 0.500 0.000
0.249 0.240 0.498
0.751 0.760 0.502



Q: Which of these has the lowest ρ?
A: NaLa2BAs